[1]
A plane-wave DFT calculation with PBE-GGA was carried out for a relaxed structure of PaIrPb.

Values from the calculation:
* E_form: -0.403 eV per atom
* theoretical density: 13.97 g/cm³

Unit cell a=4.733 b=4.733 c=4.733 alpha=60.00 beta=60.00 gamma=60.00
Fractional positions:
Pb  0.000  0.000  0.000
Pa  0.500  0.500  0.500
Ir  0.250  0.250  0.250

---

[2]
A plane-wave DFT calculation with PBE-GGA was carried out for a relaxed structure of LaGePPd.

Values from the calculation:
* E_form: -0.966 eV per atom
* theoretical density: 6.71 g/cm³

Unit cell a=4.225 b=4.225 c=9.682 alpha=90.00 beta=90.00 gamma=90.00
Fractional positions:
P  0.000  0.500  0.121
P  0.500  0.000  0.879
Pd  0.500  0.500  0.500
Pd  0.000  0.000  0.500
La  0.000  0.500  0.815
La  0.500  0.000  0.185
Ge  0.000  0.500  0.360
Ge  0.500  0.000  0.640

---

[3]
A plane-wave DFT calculation with PBE-GGA was carried out for a relaxed structure of Pm3SmSc4.

Values from the calculation:
* E_form: 0.056 eV per atom
* theoretical density: 5.42 g/cm³

Unit cell a=5.943 b=7.250 c=10.884 alpha=90.00 beta=90.00 gamma=90.00
Fractional positions:
Sc  0.647  0.105  0.000
Sc  0.982  0.105  0.750
Sc  0.482  0.895  0.250
Sc  0.647  0.106  0.500
Sc  0.147  0.894  0.000
Sc  0.147  0.895  0.500
Sc  0.982  0.105  0.250
Sc  0.482  0.895  0.750
Pm  0.996  0.641  0.250
Pm  0.496  0.359  0.250
Pm  0.996  0.641  0.750
Pm  0.133  0.359  0.500
Pm  0.496  0.359  0.750
Pm  0.633  0.641  0.000
Sm  0.133  0.359  0.000
Sm  0.633  0.641  0.500

---

[4]
A plane-wave DFT calculation with PBE-GGA was carried out for a relaxed structure of Pu3Sb4Au2.

Values from the calculation:
* formation energy from raw total energies: -0.4255 eV/atom
* theoretical density: 11.45 g/cm³

Unit cell a=4.356 b=7.187 c=9.426 alpha=121.95 beta=90.00 gamma=107.64
Last column: magnetic moment on the atom in μB.
Fractional positions:
Pu  0.364  0.727  0.312  5.27
Pu  0.636  0.273  0.688  5.27
Pu  0.000  0.000  0.000  5.16
Au  0.685  0.370  0.364  -0.05
Au  0.315  0.630  0.636  -0.05
Sb  0.941  0.881  0.624  -0.09
Sb  0.316  0.633  0.931  -0.10
Sb  0.684  0.367  0.069  -0.10
Sb  0.059  0.119  0.376  -0.09

---

[5]
A plane-wave DFT calculation with PBE-GGA was carried out for a relaxed structure of HfPt8Rh2.

Values from the calculation:
* E_form: -0.408 eV per atom
* theoretical density: 18.69 g/cm³

Unit cell a=3.972 b=6.305 c=7.430 alpha=104.86 beta=105.50 gamma=90.00
Fractional positions:
Rh  0.777  0.372  0.553
Rh  0.223  0.628  0.447
Pt  0.683  0.914  0.366
Pt  0.317  0.086  0.634
Pt  0.593  0.447  0.187
Pt  0.407  0.553  0.813
Pt  0.865  0.817  0.729
Pt  0.953  0.273  0.907
Pt  0.047  0.727  0.093
Pt  0.135  0.183  0.271
Hf  0.500  0.000  0.000

---

[6]
A plane-wave DFT calculation with PBE-GGA was carried out for a relaxed structure of Rb3Pu2USe6.

Values from the calculation:
* formation energy from raw total energies: -1.3904 eV/atom
* theoretical density: 6.30 g/cm³

Unit cell a=7.456 b=7.456 c=8.355 alpha=98.55 beta=98.55 gamma=120.00
Last column: magnetic moment on the atom in μB.
Fractional positions:
Se  0.391  0.065  0.195  -0.08
Se  0.609  0.935  0.805  -0.08
Se  0.739  0.739  0.196  -0.08
Se  0.261  0.261  0.804  -0.08
Se  0.935  0.609  0.805  -0.08
Se  0.065  0.391  0.195  -0.08
Rb  0.168  0.832  0.500  0.00
Rb  0.832  0.168  0.500  0.00
Rb  0.500  0.500  0.500  0.00
Pu  0.667  0.333  0.000  5.29
Pu  0.333  0.667  0.000  5.29
U  0.000  0.000  0.000  2.41

---

Summary of D(E_F) in states/eV/atom
0.80 0.61 1.85 3.56 1.41 2.46
(order as listed above)